Material: HfPaCu
Method: DFT, PBE
State: optimized geometry

```
HfPaCu
1.0
4.875 0.000 0.000
0.000 5.854 0.000
0.000 0.000 8.468
Cu Pa Hf
4 4 4
Cartesian
1.219 0.000 3.961 Cu
3.657 0.000 8.195 Cu
3.657 2.927 5.374 Cu
1.219 2.927 1.141 Cu
3.657 1.463 2.551 Pa
1.218 4.390 6.785 Pa
1.218 1.463 6.785 Pa
3.657 4.390 2.551 Pa
3.656 2.927 8.201 Hf
1.219 2.927 3.967 Hf
1.220 0.000 1.134 Hf
3.656 0.000 5.368 Hf
```

Total magnetization (μB/cell): 0.00
Space-group type: Cmcm
E (eV/cell): -92.16
Energy of formation (meV per atom): 168
Energy relative to the lowest polymorph listed for this composition (eV/atom): 0.156



Material: Pm5Dy3Er2
Method: DFT, PBE
State: optimized geometry

```
Pm5Dy3Er2
1.0
8.748 2.056 -4.264
0.587 8.945 -4.308
-2.229 -2.571 10.701
Dy Er Pm
6 4 10
Cartesian
6.942 2.073 2.922 Dy
0.430 6.750 5.024 Dy
0.163 6.357 -0.794 Dy
6.018 5.082 -2.437 Dy
6.676 1.680 -2.896 Dy
1.088 3.348 4.565 Dy
1.960 8.474 -2.502 Er
5.145 -0.043 4.630 Er
4.188 2.926 -0.815 Er
2.918 5.504 2.943 Er
4.518 3.315 5.067 Pm
1.658 -0.087 6.005 Pm
2.587 5.115 -2.939 Pm
0.684 2.863 0.517 Pm
7.674 2.879 -0.271 Pm
6.421 5.568 1.612 Pm
5.448 8.518 -3.876 Pm
3.499 2.091 2.386 Pm
-0.568 5.552 2.400 Pm
3.606 6.339 -0.258 Pm
```

Total magnetization (μB/cell): 0.00
Space-group type: C2/c
E (eV/cell): -89.66
Energy of formation (meV per atom): 186